Record 1
Mg2PaNb3N6: relaxed, PBE.

abc: 5.440 9.519 5.639
angles: 90.00 108.43 90.00
Space group C2/m (No. 12)
Inequivalent atoms, fractional coordinates:
Mg1 0.000 0.166 0.000 (multiplicity 4)
Pa1 0.000 0.500 0.000 (multiplicity 2)
Nb1 0.000 0.000 0.500 (multiplicity 2)
Nb2 0.000 0.318 0.500 (multiplicity 4)
N1 0.243 0.171 0.752 (multiplicity 8)
N2 0.246 0.000 0.261 (multiplicity 4)

Summary:
* crystal system: monoclinic
* calculated density: 7.70 g/cm3
* formation energy (no corrections): -1.17 eV/atom

Record 2
Mg3Pa3NbN8: relaxed, PBE.

abc: 6.7962 6.7962 15.5415
angles: 90.00 90.00 120.00
Space group R-3m (No. 166, hexagonal axes)
Inequivalent atoms, fractional coordinates:
Mg1 0.0000 0.5000 0.0000 (multiplicity 9)
Pa1 0.0000 0.5000 0.5000 (multiplicity 9)
Nb1 0.0000 0.0000 0.5000 (multiplicity 3)
N1 0.0000 0.0000 0.2531 (multiplicity 6)
N2 0.0193 0.5097 0.2398 (multiplicity 18)

Summary:
* crystal system: trigonal
* calculated density: 7.78 g/cm3
* formation energy (no corrections): -1.13 eV/atom

Record 3
Mg3Pa2NbN6: relaxed, PBE.

abc: 14.399 3.329 6.487
angles: 90.00 102.08 90.00
Space group C2/m (No. 12)
Inequivalent atoms, fractional coordinates:
Mg1 0.000 0.000 0.000 (multiplicity 2)
Mg2 0.159 0.500 0.328 (multiplicity 4)
Pa1 0.159 0.500 0.812 (multiplicity 4)
Nb1 0.000 0.000 0.500 (multiplicity 2)
N1 0.003 0.500 0.253 (multiplicity 4)
N2 0.164 0.000 0.570 (multiplicity 4)
N3 0.171 0.000 0.072 (multiplicity 4)

Summary:
* crystal system: monoclinic
* calculated density: 7.78 g/cm3
* formation energy (no corrections): -1.12 eV/atom

Record 4
MgPa2NbN5: relaxed, PBE.

abc: 3.362 13.452 10.050
angles: 90.00 90.00 90.00
Space group Cmc2_1 (No. 36)
Inequivalent atoms, fractional coordinates:
Mg1 0.000 0.023 0.000 (multiplicity 4)
Pa1 0.000 0.368 0.803 (multiplicity 4)
Pa2 0.000 0.381 0.217 (multiplicity 4)
Nb1 0.000 0.289 0.522 (multiplicity 4)
N1 0.000 0.009 0.300 (multiplicity 4)
N2 0.000 0.136 0.543 (multiplicity 4)
N3 0.000 0.191 0.881 (multiplicity 4)
N4 0.000 0.218 0.179 (multiplicity 4)
N5 0.000 0.435 0.590 (multiplicity 4)

Summary:
* crystal system: orthorhombic
* calculated density: 9.49 g/cm3
* formation energy (no corrections): -1.23 eV/atom

Record 5
MgPaNbN3: relaxed, PBE.

abc: 5.751 3.290 8.565
angles: 90.00 109.00 90.00
Space group P2_1/m (No. 11)
Inequivalent atoms, fractional coordinates:
Mg1 0.163 0.250 0.426 (multiplicity 2)
Pa1 0.475 0.750 0.793 (multiplicity 2)
Nb1 0.016 0.250 0.878 (multiplicity 2)
N1 0.175 0.250 0.673 (multiplicity 2)
N2 0.274 0.750 0.992 (multiplicity 2)
N3 0.327 0.750 0.325 (multiplicity 2)

Summary:
* crystal system: monoclinic
* calculated density: 8.46 g/cm3
* formation energy (no corrections): -1.18 eV/atom

Record 6
MgNb2PdN: relaxed, PBE.

abc: 4.216 4.216 4.293
angles: 90.00 90.00 90.00
Space group P4/mmm (No. 123)
Inequivalent atoms, fractional coordinates:
Mg1 0.000 0.000 0.000 (multiplicity 1)
Nb1 0.000 0.500 0.500 (multiplicity 2)
Pd1 0.500 0.500 0.000 (multiplicity 1)
N1 0.000 0.000 0.500 (multiplicity 1)

Summary:
* crystal system: tetragonal
* calculated density: 7.19 g/cm3
* formation energy (no corrections): -0.45 eV/atom